Below is a geometry-optimized Sr4Si2Br5 structure, with properties calculated at the PBE level.

Output
The size of the total moment is 0.01 μB/atom. The value obtained for the total energy is -3.7899 eV/atom. The calculation puts the calculated volume at 940 Å³ per cell.

Cell: 24.407 4.480 8.611 Å, 90.00 93.25 90.00°
Space group C2/m (No. 12)
Unique sites:
Sr 0.021 0.000 0.239
Sr 0.173 0.500 0.073
Si 0.044 0.500 0.979
Br 0.000 0.500 0.500
Br 0.145 0.000 0.305
Br 0.202 0.000 0.847

Below is a geometry-optimized SrSiWBr2 structure, with properties calculated at the PBE level.

Output
The size of the total moment is 0.38 μB/atom. The value obtained for the total energy is -3.9132 eV/atom. The calculation puts the calculated volume at 163 Å³ per cell.

Cell: 4.881 4.881 6.839 Å, 90.00 90.00 90.00°
Space group P4/mmm (No. 123)
Unique sites:
Sr 0.000 0.000 0.000
Si 0.500 0.500 0.000
W 0.000 0.000 0.500
Br 0.000 0.500 0.500

Below is a geometry-optimized SrZn2SiBr structure, with properties calculated at the PBE level.

Output
The size of the total moment is 0.00 μB/atom. The value obtained for the total energy is -2.4429 eV/atom. The calculation puts the calculated volume at 151 Å³ per cell.

Cell: 4.595 4.595 7.170 Å, 90.00 90.00 90.00°
Space group P4/mmm (No. 123)
Unique sites:
Sr 0.000 0.000 0.000
Zn 0.000 0.500 0.500
Si 0.500 0.500 0.500
Br 0.500 0.500 0.000

Below is a geometry-optimized Ta2SiBr structure, with properties calculated at the PBE level.

Output
Its polymorph energy (0 for the lowest one) is 653.6 meV/atom. The size of the total moment is 0.00 μB/atom. The calculation puts the calculated volume at 287 Å³ per cell.

Cell: 6.599 6.599 6.599 Å, 90.00 90.00 90.00°
Space group F-43m (No. 216)
Unique sites:
Ta 0.000 0.000 0.000
Ta 0.250 0.250 0.250
Si 0.000 0.000 0.500
Br 0.250 0.250 0.750

Below is a geometry-optimized TaSiBr2 structure, with properties calculated at the PBE level.

Output
Its polymorph energy (0 for the lowest one) is 981.6 meV/atom. The size of the total moment is 0.16 μB/atom. The calculation puts the calculated volume at 163 Å³ per cell.

Cell: 6.145 9.552 3.213 Å, 90.00 119.91 90.00°
Space group C2/m (No. 12)
Unique sites:
Ta 0.000 0.000 0.000
Si 0.000 0.500 0.000
Br 0.250 0.250 0.000

Below is a geometry-optimized TaSiBr2 structure, with properties calculated at the PBE level.

Output
Its polymorph energy (0 for the lowest one) is 637.5 meV/atom. The size of the total moment is 0.31 μB/atom. The calculation puts the calculated volume at 214 Å³ per cell.

Cell: 3.161 5.009 13.525 Å, 90.00 90.00 90.00°
Space group Imm2 (No. 44)
Unique sites:
Ta 0.000 0.000 0.000
Si 0.000 0.500 0.658
Br 0.000 0.000 0.529
Br 0.000 0.500 0.346

Below is a geometry-optimized Ta2SiBr structure, with properties calculated at the PBE level.

Output
Its polymorph energy (0 for the lowest one) is 40.1 meV/atom. The size of the total moment is 0.00 μB/atom. The calculation puts the calculated volume at 73 Å³ per cell.

Cell: 3.237 3.237 6.994 Å, 90.00 90.00 90.00°
Space group P4/mmm (No. 123)
Unique sites:
Ta 0.000 0.000 0.194
Si 0.500 0.500 0.000
Br 0.500 0.500 0.500

Below is a geometry-optimized Ta2SiBr structure, with properties calculated at the PBE level.

Output
Its polymorph energy (0 for the lowest one) is 232.7 meV/atom. The size of the total moment is 0.00 μB/atom. The calculation puts the calculated volume at 269 Å³ per cell.

Cell: 6.456 6.456 6.456 Å, 90.00 90.00 90.00°
Space group Fm-3m (No. 225)
Unique sites:
Ta 0.250 0.250 0.250
Si 0.000 0.000 0.000
Br 0.000 0.000 0.500

Below is a geometry-optimized Ta2SiBr structure, with properties calculated at the PBE level.

Output
Its polymorph energy (0 for the lowest one) is 169.5 meV/atom. The size of the total moment is 0.00 μB/atom. The calculation puts the calculated volume at 71 Å³ per cell.

Cell: 2.907 4.718 5.351 Å, 90.00 105.60 90.00°
Space group Pm (No. 6)
Unique sites:
Ta 0.000 0.000 0.000
Ta 0.337 0.500 0.677
Si 0.742 0.000 0.489
Br 0.090 0.500 0.182

Below is a geometry-optimized Ta2SiBr structure, with properties calculated at the PBE level.

Output
Its polymorph energy (0 for the lowest one) is 742.7 meV/atom. The size of the total moment is 0.00 μB/atom. The calculation puts the calculated volume at 310 Å³ per cell.

Cell: 7.257 7.257 5.888 Å, 90.00 90.00 90.00°
Space group I-42d (No. 122)
Unique sites:
Ta 0.220 0.250 0.125
Si 0.000 0.000 0.000
Br 0.000 0.000 0.500

Below is a geometry-optimized TaSi4Br structure, with properties calculated at the PBE level.

Output
The size of the total moment is 0.00 μB/atom. The value obtained for the total energy is -5.3243 eV/atom. The calculation puts the calculated volume at 387 Å³ per cell.

Cell: 7.284 7.284 7.284 Å, 90.00 90.00 90.00°
Space group F-43m (No. 216)
Unique sites:
Ta 0.000 0.000 0.000
Si 0.122 0.122 0.378
Br 0.250 0.250 0.750

Below is a geometry-optimized Ta2SiBr structure, with properties calculated at the PBE level.

Output
Its polymorph energy (0 for the lowest one) is 168.0 meV/atom. The size of the total moment is 0.00 μB/atom. The calculation puts the calculated volume at 210 Å³ per cell.

Cell: 3.0304 3.0304 26.3555 Å, 90.00 90.00 120.00°
Space group R-3m (No. 166, hexagonal axes)
Unique sites:
Ta 0.0000 0.0000 0.2471
Si 0.0000 0.0000 0.5000
Br 0.0000 0.0000 0.0000

> The highest size of the total moment belongs to which entry?

SrSiWBr2

> Which formula does entry 3 have?

SrZn2SiBr

> Which formula does entry 12 have?

Ta2SiBr